No. 1
Computed, not measured: Mo2OsW after structural relaxation at the PBEsol level of DFT.

Cell and atoms, written as POSCAR:
```
Mo2OsW
1.0
-2.353 1.424 0.072
-1.773 -0.165 -2.097
-5.594 -6.762 3.455
W Mo Os
1 2 1
Direct
0.754 0.754 0.739
0.000 0.000 0.001
0.246 0.246 0.261
0.500 0.500 0.499
```

Summary:
ρ: 15421 kg/m³
Total DFT energy (no corrections): -12.11 eV per atom
Excess energy over the best structure of this formula in the dataset: 57.4 kJ/mol of formula units


No. 2
Computed, not measured: Mo2OsW after structural relaxation at the PBEsol level of DFT.

Cell and atoms, written as POSCAR:
```
Mo2OsW
1.0
3.100 0.000 0.000
0.000 4.396 0.000
0.000 0.000 4.429
Mo W Os
2 1 1
Direct
0.500 0.500 0.000
0.000 0.000 0.000
0.000 0.500 0.500
0.500 0.000 0.500
```

Summary:
ρ: 15571 kg/m³
Total DFT energy (no corrections): -12.23 eV per atom
Excess energy over the best structure of this formula in the dataset: 10.3 kJ/mol of formula units


No. 3
Computed, not measured: YMo2Os2 after structural relaxation at the PBEsol level of DFT.

Cell and atoms, written as POSCAR:
```
YMo2Os2
1.0
4.276 0.000 0.000
0.000 4.276 0.000
-2.138 -2.138 5.164
Os Mo Y
2 2 1
Direct
0.623 0.623 0.245
0.377 0.377 0.755
0.250 0.750 0.500
0.750 0.250 0.500
0.000 0.000 0.000
```

Summary:
ρ: 11630 kg/m³
Total DFT energy (no corrections): -10.97 eV per atom


Q: ρ of number 1 (Mo2OsW)?
A: 15421 kg/m³


Copy entry 2 word for word.
Computed, not measured: Mo2OsW after structural relaxation at the PBEsol level of DFT.

Cell and atoms, written as POSCAR:
```
Mo2OsW
1.0
3.100 0.000 0.000
0.000 4.396 0.000
0.000 0.000 4.429
Mo W Os
2 1 1
Direct
0.500 0.500 0.000
0.000 0.000 0.000
0.000 0.500 0.500
0.500 0.000 0.500
```

Summary:
ρ: 15571 kg/m³
Total DFT energy (no corrections): -12.23 eV per atom
Excess energy over the best structure of this formula in the dataset: 10.3 kJ/mol of formula units


Q: Which formula does entry 3 have?
A: YMo2Os2